{
  "formula": "Rb3ScF6",
  "functional": "PBEsol",
  "state": "relaxed",
  "dos_ef_per_ev_cell": 0.000,
  "spacegroup": "P4/mnc, No. 128",
  "total_energy_ev_per_atom": -5.4246,
  "total_magnetization_mub_per_cell": 0.4,
  "cell": [[-3.661, -3.969, -3.357], [1.909, -4.845, 3.648], [-7.130, 1.610, 5.871]],
  "species": ["Rb", "Rb", "Rb", "Rb", "Rb", "Rb", "Sc", "Sc", "F", "F", "F", "F", "F", "F", "F", "F", "F", "F", "F", "F"],
  "fractional_positions": [[0.000, 0.500, 0.250], [0.000, 0.500, 0.750], [0.500, 0.000, 0.250], [0.500, 0.000, 0.750], [0.000, 0.000, 0.500], [0.500, 0.500, 0.000], [0.000, 0.000, 0.000], [0.500, 0.500, 0.500], [0.135, 0.288, 0.000], [0.865, 0.712, 0.000], [0.712, 0.135, 0.000], [0.365, 0.788, 0.500], [0.288, 0.865, 0.000], [0.635, 0.212, 0.500], [0.788, 0.635, 0.500], [0.212, 0.365, 0.500], [0.000, 0.000, 0.216], [0.000, 0.000, 0.784], [0.500, 0.500, 0.284], [0.500, 0.500, 0.716]]
}

{
  "formula": "Rb3TiF7",
  "functional": "PBEsol",
  "state": "relaxed",
  "dos_ef_per_ev_cell": 0.000,
  "spacegroup": "P4/mbm, No. 127",
  "total_energy_ev_per_atom": -5.4228,
  "total_magnetization_mub_per_cell": 0.2,
  "cell": [[-3.878, -2.220, 3.875], [-2.146, -5.616, -5.365], [5.693, -4.924, 2.877]],
  "species": ["Rb", "Rb", "Rb", "Rb", "Rb", "Rb", "Ti", "Ti", "F", "F", "F", "F", "F", "F", "F", "F", "F", "F", "F", "F", "F", "F"],
  "fractional_positions": [[0.500, 0.190, 0.690], [0.500, 0.690, 0.810], [0.500, 0.310, 0.190], [0.500, 0.810, 0.310], [0.000, 0.500, 0.500], [0.000, 0.000, 0.000], [0.000, 0.000, 0.500], [0.000, 0.500, 0.000], [0.772, 0.386, 0.886], [0.772, 0.614, 0.114], [0.772, 0.114, 0.386], [0.772, 0.886, 0.614], [0.228, 0.386, 0.886], [0.228, 0.886, 0.614], [0.228, 0.114, 0.386], [0.228, 0.614, 0.114], [0.500, 0.000, 0.000], [0.500, 0.500, 0.500], [0.000, 0.836, 0.336], [0.000, 0.336, 0.164], [0.000, 0.664, 0.836], [0.000, 0.164, 0.664]]
}

{
  "formula": "Ba7Cu3H17",
  "functional": "PBEsol",
  "state": "relaxed",
  "spacegroup": "P31c, No. 159",
  "total_energy_ev_per_atom": -3.5358,
  "total_magnetization_mub_per_cell": 0.0,
  "cell": [[7.433, 0.000, 0.000], [0.000, 11.572, 0.000], [0.000, -5.786, 10.022]],
  "species": ["Ba", "Ba", "Ba", "Ba", "Ba", "Ba", "Ba", "Ba", "Ba", "Ba", "Ba", "Ba", "Ba", "Ba", "Cu", "Cu", "Cu", "Cu", "Cu", "Cu", "H", "H", "H", "H", "H", "H", "H", "H", "H", "H", "H", "H", "H", "H", "H", "H", "H", "H", "H", "H", "H", "H", "H", "H", "H", "H", "H", "H", "H", "H", "H", "H", "H", "H"],
  "fractional_positions": [[0.326, 0.124, 0.271], [0.326, 0.147, 0.876], [0.326, 0.729, 0.853], [0.826, 0.853, 0.729], [0.826, 0.271, 0.124], [0.826, 0.876, 0.147], [0.472, 0.544, 0.103], [0.472, 0.559, 0.456], [0.472, 0.897, 0.441], [0.972, 0.441, 0.897], [0.972, 0.103, 0.544], [0.972, 0.456, 0.559], [0.493, 0.333, 0.667], [0.993, 0.667, 0.333], [0.237, 0.342, 0.182], [0.237, 0.839, 0.658], [0.237, 0.818, 0.161], [0.737, 0.161, 0.818], [0.737, 0.182, 0.342], [0.737, 0.658, 0.839], [0.154, 0.406, 0.330], [0.154, 0.924, 0.594], [0.154, 0.670, 0.076], [0.654, 0.076, 0.670], [0.654, 0.330, 0.406], [0.654, 0.594, 0.924], [0.456, 0.346, 0.176], [0.456, 0.831, 0.654], [0.456, 0.824, 0.169], [0.956, 0.169, 0.824], [0.956, 0.176, 0.346], [0.956, 0.654, 0.831], [0.148, 0.406, 0.097], [0.148, 0.691, 0.594], [0.148, 0.903, 0.309], [0.648, 0.309, 0.903], [0.648, 0.097, 0.406], [0.648, 0.594, 0.691], [0.170, 0.185, 0.099], [0.170, 0.913, 0.815], [0.170, 0.901, 0.087], [0.670, 0.087, 0.901], [0.670, 0.099, 0.185], [0.670, 0.815, 0.913], [0.311, 0.125, 0.497], [0.311, 0.373, 0.875], [0.311, 0.503, 0.627], [0.811, 0.627, 0.503], [0.811, 0.497, 0.125], [0.811, 0.875, 0.373], [0.828, 0.333, 0.667], [0.328, 0.667, 0.333], [0.135, 0.333, 0.667], [0.635, 0.667, 0.333]]
}

{
  "formula": "CdTe2",
  "functional": "PBEsol",
  "state": "relaxed",
  "dos_ef_per_ev_cell": 2.556,
  "spacegroup": "P6_3/mmc, No. 194",
  "total_energy_ev_per_atom": -2.8081,
  "total_magnetization_mub_per_cell": 0.0,
  "cell": [[-3.380, -0.184, 2.516], [-0.442, -0.495, -4.165], [1.459, -11.005, 1.154]],
  "species": ["Te", "Te", "Te", "Te", "Cd", "Cd"],
  "fractional_positions": [[0.333, 0.667, 0.598], [0.667, 0.333, 0.098], [0.667, 0.333, 0.402], [0.333, 0.667, 0.902], [0.000, 0.000, 0.750], [0.000, 0.000, 0.250]]
}

{
  "formula": "Fe2PdPbF",
  "functional": "PBEsol",
  "state": "relaxed",
  "dos_ef_per_ev_cell": 7.162,
  "spacegroup": "P4/mmm, No. 123",
  "total_energy_ev_per_atom": -4.9369,
  "total_magnetization_mub_per_cell": 6.1,
  "cell": [[4.317, 0.000, 0.000], [0.000, 4.935, 0.000], [0.000, 0.000, 4.935]],
  "species": ["Pb", "Fe", "Fe", "Pd", "F"],
  "fractional_positions": [[0.000, 0.000, 0.000], [0.000, 0.000, 0.500], [0.000, 0.500, 0.000], [0.500, 0.500, 0.500], [0.500, 0.000, 0.000]]
}

{
  "formula": "Tl2ReRh",
  "functional": "PBEsol",
  "state": "relaxed",
  "polymorph_energy_mev_per_atom": 0.0,
  "dos_ef_per_ev_cell": 2.993,
  "formation_enthalpy_0k_ev_per_atom": 0.403,
  "spacegroup": "P4mm, No. 99",
  "total_magnetization_mub_per_cell": 0.0,
  "cell": [[2.931, 0.000, 0.000], [0.000, 2.931, 0.000], [0.000, 0.000, 8.881]],
  "species": ["Re", "Rh", "Tl", "Tl"],
  "fractional_positions": [[0.000, 0.000, 0.539], [0.500, 0.500, 0.714], [0.000, 0.000, 0.961], [0.500, 0.500, 0.286]]
}

{
  "formula": "CaHfAsBr2",
  "functional": "PBEsol",
  "state": "relaxed",
  "dos_ef_per_ev_cell": 3.776,
  "spacegroup": "P4/mmm, No. 123",
  "total_energy_ev_per_atom": -4.2081,
  "total_magnetization_mub_per_cell": 1.0,
  "cell": [[-1.965, -2.917, 3.677], [0.983, -4.153, -2.770], [5.241, -0.410, 2.475]],
  "species": ["As", "Hf", "Ca", "Br", "Br"],
  "fractional_positions": [[0.000, 0.000, 0.500], [0.500, 0.500, 0.500], [0.000, 0.000, 0.000], [0.000, 0.500, 0.000], [0.500, 0.000, 0.000]]
}

{
  "formula": "VOF",
  "functional": "PBEsol",
  "state": "relaxed",
  "dos_ef_per_ev_cell": 13.860,
  "spacegroup": "P2_1, No. 4",
  "total_energy_ev_per_atom": -8.0560,
  "total_magnetization_mub_per_cell": 16.0,
  "cell": [[-0.314, 2.762, -3.677], [-4.087, -3.597, -2.353], [-4.734, 6.644, 5.395]],
  "species": ["V", "V", "V", "V", "V", "V", "V", "V", "O", "O", "O", "O", "O", "O", "O", "O", "F", "F", "F", "F", "F", "F", "F", "F"],
  "fractional_positions": [[0.965, 0.043, 0.354], [0.999, 0.323, 0.874], [0.040, 0.583, 0.396], [0.999, 0.798, 0.876], [0.540, 0.417, 0.604], [0.499, 0.677, 0.126], [0.499, 0.202, 0.124], [0.465, 0.957, 0.646], [0.320, 0.647, 0.538], [0.293, 0.387, 0.025], [0.182, 0.013, 0.787], [0.199, 0.760, 0.278], [0.820, 0.353, 0.462], [0.793, 0.613, 0.975], [0.682, 0.987, 0.213], [0.699, 0.240, 0.722], [0.289, 0.132, 0.519], [0.292, 0.891, 0.029], [0.206, 0.268, 0.278], [0.215, 0.508, 0.768], [0.792, 0.109, 0.971], [0.789, 0.868, 0.481], [0.706, 0.732, 0.722], [0.715, 0.492, 0.232]]
}

{
  "formula": "MnCoOs2",
  "functional": "PBEsol",
  "state": "relaxed",
  "polymorph_energy_mev_per_atom": 0.0,
  "dos_ef_per_ev_cell": 4.454,
  "formation_enthalpy_0k_ev_per_atom": 0.117,
  "spacegroup": "Pmm2, No. 25",
  "total_magnetization_mub_per_cell": 1.8,
  "cell": [[-1.774, -1.690, 0.960], [2.532, -2.620, 0.069], [1.286, 1.370, 4.788]],
  "species": ["Co", "Mn", "Os", "Os"],
  "fractional_positions": [[0.000, 0.000, 0.506], [0.500, 0.500, 0.739], [0.000, 0.000, 0.991], [0.500, 0.500, 0.264]]
}

{
  "formula": "TaSiNi2",
  "functional": "PBEsol",
  "state": "relaxed",
  "dos_ef_per_ev_cell": 3.111,
  "spacegroup": "Pmm2, No. 25",
  "total_energy_ev_per_atom": -8.0136,
  "total_magnetization_mub_per_cell": 0.0,
  "cell": [[2.834, 0.000, 0.000], [0.000, 2.965, 0.000], [0.000, 0.000, 5.913]],
  "species": ["Ni", "Ni", "Si", "Ta"],
  "fractional_positions": [[0.000, 0.000, 0.026], [0.500, 0.500, 0.265], [0.000, 0.000, 0.450], [0.500, 0.500, 0.758]]
}

{
  "formula": "Co4IrRh",
  "functional": "PBEsol",
  "state": "relaxed",
  "dos_ef_per_ev_cell": 6.998,
  "formation_enthalpy_0k_ev_per_atom": 0.102,
  "spacegroup": "F-43m, No. 216",
  "total_magnetization_mub_per_cell": 9.1,
  "cell": [[4.631, 0.000, 0.000], [2.316, 4.011, 0.000], [2.316, 1.337, 3.781]],
  "species": ["Rh", "Ir", "Co", "Co", "Co", "Co"],
  "fractional_positions": [[0.000, 0.000, 0.000], [0.250, 0.250, 0.250], [0.625, 0.625, 0.125], [0.125, 0.625, 0.625], [0.625, 0.125, 0.625], [0.625, 0.625, 0.625]]
}

{
  "formula": "ZnAgRu2",
  "functional": "PBEsol",
  "state": "relaxed",
  "dos_ef_per_ev_cell": 4.904,
  "formation_enthalpy_0k_ev_per_atom": 0.408,
  "spacegroup": "Cmmm, No. 65",
  "total_magnetization_mub_per_cell": 0.0,
  "cell": [[2.635, 0.018, 0.000], [-1.168, 2.362, 0.000], [0.000, 0.000, 9.114]],
  "species": ["Ag", "Ru", "Ru", "Zn"],
  "fractional_positions": [[0.500, 0.500, 0.000], [0.000, 0.000, 0.264], [0.000, 0.000, 0.736], [0.500, 0.500, 0.500]]
}

Number 10 is which compound?
TaSiNi2